# 1
# Ta2Fe2Re

A geometry-optimized Ta2Fe2Re structure (PBE, Alexandria via LeMat-Bulk).

Structure (CIF):
```
data_Ta2Fe2Re
_cell_length_a 6.203
_cell_length_b 6.203
_cell_length_c 3.834
_cell_angle_alpha 90.00
_cell_angle_beta 90.00
_cell_angle_gamma 90.00
_symmetry_space_group_name_H-M 'P 4/m b m'
_symmetry_Int_Tables_number 127
_symmetry_space_group_name_Hall '-P 4 2ab'
loop_
_atom_site_label
_atom_site_fract_x
_atom_site_fract_y
_atom_site_fract_z
_atom_site_occupancy
Ta1 0.180 0.320 0.000 1
Fe1 0.125 0.625 0.500 1
Re1 0.000 0.000 0.500 1
```

DOS(E_F)	12.8	states/eV/cell
formation energy	0.01	eV/atom

***

# 2
# TaFeRe

A geometry-optimized TaFeRe structure (PBE, Alexandria via LeMat-Bulk).

Structure (CIF):
```
data_TaFeRe
_cell_length_a 5.998
_cell_length_b 5.998
_cell_length_c 5.998
_cell_angle_alpha 90.00
_cell_angle_beta 90.00
_cell_angle_gamma 90.00
_symmetry_space_group_name_H-M 'F -4 3 m'
_symmetry_Int_Tables_number 216
_symmetry_space_group_name_Hall 'F -4 2 3'
loop_
_atom_site_label
_atom_site_fract_x
_atom_site_fract_y
_atom_site_fract_z
_atom_site_occupancy
Ta1 0.000 0.000 0.000 1
Fe1 0.250 0.250 0.750 1
Re1 0.250 0.250 0.250 1
```

DOS(E_F)	15.7	states/eV/cell
formation energy	0.93	eV/atom
energy relative to the lowest polymorph listed for this composition	950	meV per atom

***

# 3
# TaFeRe

A geometry-optimized TaFeRe structure (PBE, Alexandria via LeMat-Bulk).

Structure (CIF):
```
data_TaFeRe
_cell_length_a 5.015
_cell_length_b 11.311
_cell_length_c 6.481
_cell_angle_alpha 90.00
_cell_angle_beta 90.00
_cell_angle_gamma 90.00
_symmetry_space_group_name_H-M 'C m c e'
_symmetry_Int_Tables_number 64
_symmetry_space_group_name_Hall '-C 2ac 2'
loop_
_atom_site_label
_atom_site_fract_x
_atom_site_fract_y
_atom_site_fract_z
_atom_site_occupancy
Ta1 0.000 0.198 0.093 1
Fe1 0.000 0.091 0.414 1
Re1 0.250 0.081 0.750 1
```

DOS(E_F)	22.2	states/eV/cell
formation energy	0.12	eV/atom
energy relative to the lowest polymorph listed for this composition	143	meV per atom

***

# 4
# Ta3FeRe

A geometry-optimized Ta3FeRe structure (PBE, Alexandria via LeMat-Bulk).

Structure (CIF):
```
data_Ta3FeRe
_cell_length_a 4.801
_cell_length_b 4.801
_cell_length_c 4.801
_cell_angle_alpha 90.00
_cell_angle_beta 90.00
_cell_angle_gamma 90.00
_symmetry_space_group_name_H-M 'P m -3 m'
_symmetry_Int_Tables_number 221
_symmetry_space_group_name_Hall '-P 4 2 3'
loop_
_atom_site_label
_atom_site_fract_x
_atom_site_fract_y
_atom_site_fract_z
_atom_site_occupancy
Ta1 0.000 0.000 0.500 1
Fe1 0.500 0.500 0.500 1
Re1 0.000 0.000 0.000 1
```

DOS(E_F)	11.4	states/eV/cell
formation energy	1.80	eV/atom
energy relative to the lowest polymorph listed for this composition	846	meV per atom

***

# 5
# TaFeRe

A geometry-optimized TaFeRe structure (PBE, Alexandria via LeMat-Bulk).

Structure (CIF):
```
data_TaFeRe
_cell_length_a 3.149
_cell_length_b 3.149
_cell_length_c 9.095
_cell_angle_alpha 90.00
_cell_angle_beta 90.00
_cell_angle_gamma 90.00
_symmetry_space_group_name_H-M 'I 4 m m'
_symmetry_Int_Tables_number 107
_symmetry_space_group_name_Hall 'I 4 -2'
loop_
_atom_site_label
_atom_site_fract_x
_atom_site_fract_y
_atom_site_fract_z
_atom_site_occupancy
Ta1 0.000 0.000 0.000 1
Fe1 0.000 0.000 0.669 1
Re1 0.000 0.000 0.327 1
```

DOS(E_F)	4.8	states/eV/cell
formation energy	-0.02	eV/atom
energy relative to the lowest polymorph listed for this composition	0	meV per atom

***

# 6
# Ta3FeRe

A geometry-optimized Ta3FeRe structure (PBE, Alexandria via LeMat-Bulk).

Structure (CIF):
```
data_Ta3FeRe
_cell_length_a 4.505
_cell_length_b 4.505
_cell_length_c 4.505
_cell_angle_alpha 90.00
_cell_angle_beta 90.00
_cell_angle_gamma 90.00
_symmetry_space_group_name_H-M 'P m -3 m'
_symmetry_Int_Tables_number 221
_symmetry_space_group_name_Hall '-P 4 2 3'
loop_
_atom_site_label
_atom_site_fract_x
_atom_site_fract_y
_atom_site_fract_z
_atom_site_occupancy
Ta1 0.000 0.000 0.500 1
Fe1 0.000 0.000 0.000 1
Re1 0.500 0.500 0.500 1
```

DOS(E_F)	6.2	states/eV/cell
formation energy	0.95	eV/atom
energy relative to the lowest polymorph listed for this composition	0	meV per atom